Record 1
Entry from Alexandria via LeMat-Bulk: a relaxed structure of LaAg2Pt2 (GGA-PBEsol).

POSCAR file:
```
LaAg2Pt2
1.0
3.972 0.000 0.000
0.000 3.972 0.000
-1.986 -1.986 6.368
Pt Ag La
2 2 1
Cartesian
1.986 1.986 1.288
0.000 0.000 5.080
0.000 1.986 3.184
1.986 0.000 3.184
0.000 0.000 0.000
```

Properties
**D(E_F)**: 0.39 states/eV/atom
**Total energy**: -5.680 eV per atom
**Energy of formation from the pure elements**: -0.501 eV/atom
**Spin magnetization**: 0.0 μB/f.u.
**Density**: 12313 kg/m³

Record 2
Entry from Alexandria via LeMat-Bulk: a relaxed structure of TaZnRe2 (GGA-PBEsol).

POSCAR file:
```
TaZnRe2
1.0
3.882 0.000 0.000
0.000 3.882 0.000
-1.941 -1.941 3.973
Ta Re Zn
1 2 1
Cartesian
1.941 1.941 0.000
0.000 0.000 0.000
1.941 0.000 1.987
0.000 1.941 1.987
```

Properties
**D(E_F)**: 0.69 states/eV/atom
**Total energy**: -10.063 eV per atom
**Energy of formation from the pure elements**: 0.136 eV/atom
**Spin magnetization**: 0.0 μB/f.u.
**Density**: 17159 kg/m³

Record 3
Entry from Alexandria via LeMat-Bulk: a relaxed structure of Li4AsIr (GGA-PBEsol).

POSCAR file:
```
Li4AsIr
1.0
4.663 0.000 0.000
2.332 4.039 0.000
2.332 1.346 3.808
Li As Ir
4 1 1
Cartesian
5.851 2.007 1.419
4.663 2.692 3.359
3.475 2.007 1.419
4.663 4.064 1.419
6.995 4.039 2.856
0.000 0.000 0.000
```

Properties
**D(E_F)**: 0.18 states/eV/atom
**Total energy**: -3.879 eV per atom
**Energy of formation from the pure elements**: -0.079 eV/atom
**Spin magnetization**: 0.0 μB/f.u.
**Density**: 6828 kg/m³

Record 4
Entry from Alexandria via LeMat-Bulk: a relaxed structure of TaMnRe2 (GGA-PBEsol).

POSCAR file:
```
TaMnRe2
1.0
3.114 0.000 0.000
0.000 4.284 0.000
0.000 0.000 4.365
Mn Ta Re
1 1 2
Cartesian
0.000 2.142 2.183
1.557 0.000 2.183
1.557 2.142 0.000
0.000 0.000 0.000
```

Properties
**D(E_F)**: 0.91 states/eV/atom
**Total energy**: -12.254 eV per atom
**Energy of formation from the pure elements**: -0.010 eV/atom
**Spin magnetization**: 1.9 μB/f.u.
**Density**: 17343 kg/m³

Record 5
Entry from Alexandria via LeMat-Bulk: a relaxed structure of Zn5Ni4 (GGA-PBEsol).

POSCAR file:
```
Zn5Ni4
1.0
4.926 0.000 0.000
0.000 7.091 0.000
0.000 -3.545 6.141
Ni Zn
8 10
Cartesian
2.463 0.000 0.000
1.232 -2.268 3.928
3.695 2.555 0.000
3.695 -1.278 2.213
1.232 4.535 0.000
0.000 0.000 0.000
1.232 1.278 2.213
3.695 2.268 3.928
2.463 3.545 2.047
0.000 3.545 2.047
1.232 2.472 4.281
1.232 2.147 0.000
3.695 1.074 1.860
1.232 -1.074 1.860
3.695 -2.472 4.281
2.463 0.000 4.094
3.695 4.943 0.000
0.000 0.000 4.094
```

Properties
**D(E_F)**: 0.55 states/eV/atom
**Offset from the most stable computed form**: 25 meV per atom
**Total energy**: -3.770 eV per atom
**Energy of formation from the pure elements**: -0.154 eV/atom
**Spin magnetization**: 0.0 μB/f.u.
**Density**: 8699 kg/m³

Record 6
Entry from Alexandria via LeMat-Bulk: a relaxed structure of BaNaIn2 (GGA-PBEsol).

POSCAR file:
```
BaNaIn2
1.0
5.599 0.000 0.000
2.800 4.849 0.000
2.800 1.616 4.572
In Ba Na
2 1 1
Cartesian
8.399 4.849 3.429
2.800 1.616 1.143
5.599 3.233 2.286
0.000 0.000 0.000
```

Properties
**D(E_F)**: 0.56 states/eV/atom
**Total energy**: -2.625 eV per atom
**Energy of formation from the pure elements**: -0.246 eV/atom
**Spin magnetization**: 0.0 μB/f.u.
**Density**: 5217 kg/m³

Record 7
Entry from Alexandria via LeMat-Bulk: a relaxed structure of CeIn4Ni (GGA-PBEsol).

POSCAR file:
```
CeIn4Ni
1.0
4.418 0.000 0.000
0.000 7.056 0.000
-2.209 0.000 8.331
In Ce Ni
8 2 2
Cartesian
2.209 0.325 3.129
2.209 3.528 0.000
2.209 0.000 0.000
0.000 1.764 1.233
2.209 5.292 7.098
2.209 3.203 3.129
0.000 3.853 5.203
0.000 6.731 5.203
0.000 5.292 1.950
2.209 1.764 6.381
2.209 5.292 4.581
0.000 1.764 3.751
```

Properties
**D(E_F)**: 1.22 states/eV/atom
**Total energy**: -4.463 eV per atom
**Energy of formation from the pure elements**: -0.349 eV/atom
**Spin magnetization**: 0.8 μB/f.u.
**Density**: 8415 kg/m³

Record 8
Entry from Alexandria via LeMat-Bulk: a relaxed structure of Zr7Tl (GGA-PBEsol).

POSCAR file:
```
Zr7Tl
1.0
-5.300 2.716 -2.013
-5.569 -2.567 1.384
-3.834 2.830 4.099
Zr Tl
7 1
Cartesian
-4.702 0.131 2.742
-5.434 0.074 -0.314
-7.352 1.489 1.735
-2.784 -1.284 0.692
-4.567 2.773 1.043
-2.650 1.358 -1.006
-1.917 1.415 2.050
0.000 0.000 0.000
```

Properties
**D(E_F)**: 1.37 states/eV/atom
**Total energy**: -8.303 eV per atom
**Energy of formation from the pure elements**: -0.021 eV/atom
**Spin magnetization**: 0.0 μB/f.u.
**Density**: 7969 kg/m³

Record 9
Entry from Alexandria via LeMat-Bulk: a relaxed structure of TcOs3 (GGA-PBEsol).

POSCAR file:
```
TcOs3
1.0
-1.497 -2.829 0.470
0.585 -0.820 -3.074
4.783 -2.279 1.518
Os Tc
3 1
Cartesian
3.604 -1.717 1.144
1.179 -0.562 0.374
-0.456 -1.824 -1.302
1.935 -2.964 -0.543
```

Properties
**D(E_F)**: 1.72 states/eV/atom
**Offset from the most stable computed form**: 718 meV per atom
**Total energy**: -11.332 eV per atom
**Energy of formation from the pure elements**: 0.647 eV/atom
**Spin magnetization**: 0.8 μB/f.u.
**Density**: 19255 kg/m³

Record 10
Entry from Alexandria via LeMat-Bulk: a relaxed structure of KTa2Cd (GGA-PBEsol).

POSCAR file:
```
KTa2Cd
1.0
-1.642 1.083 1.980
-0.695 -2.572 0.830
8.585 -0.020 7.131
Cd Ta K
1 2 1
Cartesian
-1.169 -0.745 1.405
1.789 -0.004 1.486
6.796 -0.016 5.645
3.124 -0.755 4.970
```

Properties
**D(E_F)**: 1.09 states/eV/atom
**Total energy**: -5.931 eV per atom
**Energy of formation from the pure elements**: 0.927 eV/atom
**Spin magnetization**: 0.0 μB/f.u.
**Density**: 9809 kg/m³

Record 11
Entry from Alexandria via LeMat-Bulk: a relaxed structure of KW2Se (GGA-PBEsol).

POSCAR file:
```
KW2Se
1.0
3.267 0.000 0.000
0.000 3.267 0.000
0.000 0.000 8.035
W Se K
2 1 1
Cartesian
1.633 1.633 1.303
0.000 0.000 0.070
1.633 1.633 6.547
0.000 0.000 4.133
```

Properties
**D(E_F)**: 0.77 states/eV/atom
**Total energy**: -7.626 eV per atom
**Spin magnetization**: 0.8 μB/f.u.
**Density**: 9406 kg/m³
**Uncorrected formation energy**: 0.524 eV/atom

Record 12
Entry from Alexandria via LeMat-Bulk: a relaxed structure of Na2CuSi3O8 (GGA-PBEsol).

POSCAR file:
```
Na2CuSi3O8
1.0
-6.392 -0.274 4.703
-1.782 -6.177 -7.178
4.335 -7.583 5.449
O Cu Na Si
32 4 8 12
Cartesian
-2.777 -6.529 8.628
-1.891 -9.862 5.643
-1.948 -4.172 -2.669
-5.028 -3.929 5.022
1.319 -6.128 2.489
-4.242 -10.397 0.219
2.805 -8.286 2.453
-5.159 -7.906 0.485
-1.205 -5.579 1.891
-3.804 -5.678 -3.846
-5.392 -2.852 2.662
1.519 -7.722 4.687
0.237 -5.132 -1.551
-2.635 -8.456 1.083
1.188 -10.106 -2.048
-3.885 -3.360 0.497
-2.603 -11.159 2.226
-3.537 -8.616 -1.534
-6.644 -5.749 0.521
-0.287 -9.210 -0.052
1.552 -11.183 0.312
-0.303 -5.418 4.508
-4.077 -8.903 4.526
-1.062 -7.506 -5.654
-1.237 -2.875 0.748
-3.552 -4.825 3.027
0.045 -10.675 2.477
-1.639 -6.820 -2.227
-0.035 -8.356 6.820
-2.201 -7.215 5.201
-5.358 -6.313 -1.713
0.403 -3.638 2.755
-1.355 -9.875 1.437
-0.247 -7.166 5.299
-3.593 -6.869 -2.325
-2.485 -4.160 1.537
-2.509 -2.461 -1.211
-1.331 -11.574 4.185
-2.510 -4.863 5.172
-1.906 -0.592 1.315
-2.932 -7.048 2.873
-1.934 -13.443 1.659
-0.907 -6.986 0.101
-1.329 -9.172 -2.198
1.167 -9.781 -0.437
-4.120 -11.142 1.680
-2.926 -8.584 5.650
-3.837 -8.792 0.045
-4.891 -2.300 1.188
2.274 -7.070 3.424
-0.003 -5.243 2.929
-6.114 -6.964 -0.450
-5.007 -4.253 3.411
1.051 -11.735 1.786
-0.914 -5.451 -2.676
0.280 -2.893 1.294
```

Properties
**Total energy**: -7.037 eV per atom
**Spin magnetization**: 1.0 μB/f.u.
**Density**: 2818 kg/m³
**Uncorrected formation energy**: -2.296 eV/atom

Repeat the fourth record exactly.
Entry from Alexandria via LeMat-Bulk: a relaxed structure of TaMnRe2 (GGA-PBEsol).

POSCAR file:
```
TaMnRe2
1.0
3.114 0.000 0.000
0.000 4.284 0.000
0.000 0.000 4.365
Mn Ta Re
1 1 2
Cartesian
0.000 2.142 2.183
1.557 0.000 2.183
1.557 2.142 0.000
0.000 0.000 0.000
```

Properties
**D(E_F)**: 0.91 states/eV/atom
**Total energy**: -12.254 eV per atom
**Energy of formation from the pure elements**: -0.010 eV/atom
**Spin magnetization**: 1.9 μB/f.u.
**Density**: 17343 kg/m³